PuCdSb2Pd5 | Alexandria | PBE | relaxed; E_form (uncorrected) = -306 meV per atom; crystal system = tetragonal
1.0
4.784 0.000 0.000
0.000 4.784 0.000
0.000 0.000 8.322
Pu Pd Cd Sb
1 5 1 2
Cartesian
0.000 0.000 4.161
0.000 2.392 2.442
2.392 2.392 4.161
2.392 0.000 2.442
0.000 2.392 5.879
2.392 0.000 5.879
0.000 0.000 0.000
2.392 2.392 6.909
2.392 2.392 1.412

=====

Pu2CdSb3Pd4 | Alexandria | PBE | relaxed; E_form (uncorrected) = -543 meV per atom; crystal system = tetragonal
1.0
-2.934 0.792 -3.231
1.213 -3.757 -2.022
-7.885 -5.653 5.774
Pd Sb Pu Cd
4 3 2 1
Cartesian
0.000 0.000 0.000
-2.234 -3.915 1.069
-0.861 -1.483 -2.627
-6.511 -3.220 2.078
-3.942 -2.826 2.887
-0.445 -2.633 -0.241
-8.300 -4.503 3.388
-3.364 -0.964 -0.227
-5.382 -6.172 3.374
-4.803 -4.309 0.260

=====

Pu2CdSi3Pd4 | Alexandria | PBE | relaxed; E_form (uncorrected) = -558 meV per atom; crystal system = tetragonal
1.0
4.129 0.000 0.000
0.000 4.129 0.000
0.000 0.000 10.921
Si Pd Pu Cd
3 4 2 1
Cartesian
2.064 0.000 9.549
0.000 2.064 1.372
0.000 0.000 5.460
0.000 2.064 3.756
2.064 2.064 0.000
2.064 0.000 7.165
0.000 0.000 0.000
2.064 0.000 2.641
0.000 2.064 8.280
2.064 2.064 5.460

=====

SmPuCdPd | Alexandria | PBE | relaxed; energy of formation from the pure elements = -275.5 meV per atom; crystal system = cubic
1.0
5.205 0.000 0.000
2.602 4.508 0.000
2.602 1.503 4.250
Sm Pu Pd Cd
1 1 1 1
Cartesian
0.000 0.000 0.000
5.205 3.005 2.125
2.602 1.503 1.062
7.807 4.508 3.187

=====

Pu2CdSn3Pd4 | Alexandria | PBE | relaxed; energy of formation from the pure elements = -470.2 meV per atom; crystal system = tetragonal
1.0
-4.127 -0.119 1.199
1.205 -0.424 4.106
0.014 11.899 1.224
Pu Sn Pd Cd
2 3 4 1
Cartesian
0.613 8.665 2.966
-2.060 2.962 0.910
-2.052 10.263 1.662
0.007 5.949 0.612
0.604 1.365 2.215
0.607 3.972 2.483
-1.461 -0.271 2.652
0.000 0.000 0.000
-2.055 7.656 1.393
-1.454 5.678 3.264

=====

PuCdSnPd | Alexandria | PBE | relaxed; energy of formation from the pure elements = -277.0 meV per atom; crystal system = cubic
1.0
-2.965 3.484 2.037
-4.967 -0.638 0.016
-2.389 -0.948 4.298
Pd Pu Sn Cd
1 1 1 1
Cartesian
-5.160 0.949 3.176
-2.580 0.475 1.588
-7.740 1.424 4.764
0.000 0.000 0.000

=====

TbPuCdPd | Alexandria | PBE | relaxed; energy of formation from the pure elements = -292.8 meV per atom; crystal system = cubic
1.0
5.164 0.000 0.000
2.582 4.472 0.000
2.582 1.491 4.216
Pu Pd Tb Cd
1 1 1 1
Cartesian
0.000 0.000 0.000
7.746 4.472 3.162
5.164 2.981 2.108
2.582 1.491 1.054

=====

YPuCdPd | Alexandria | PBE | relaxed; energy of formation from the pure elements = -294.8 meV per atom; crystal system = cubic
1.0
5.162 0.000 0.000
2.581 4.471 0.000
2.581 1.490 4.215
Pd Y Pu Cd
1 1 1 1
Cartesian
5.162 2.980 2.108
7.743 4.471 3.161
2.581 1.490 1.054
0.000 0.000 0.000

=====

RbCd4Pd | Alexandria | PBE | relaxed; energy of formation from the pure elements = -86.7 meV per atom; crystal system = monoclinic; ΔE to the lowest computed polymorph = 0 meV per atom
1.0
-5.058 0.190 -0.027
-0.341 -8.286 5.777
-0.049 4.598 6.591
Cd Pd Rb
8 2 2
Cartesian
-2.621 -0.656 6.680
-2.540 -0.155 0.177
-0.380 -5.473 5.941
-5.089 1.457 6.761
-2.841 -3.342 5.993
-2.518 2.006 4.842
-2.956 -5.987 7.855
-2.758 0.285 9.635
-2.927 -5.897 5.170
-2.542 1.893 7.525
-5.122 -0.946 3.312
-0.347 -3.069 9.389

=====

RbCdPd3 | Alexandria | PBE | relaxed; energy of formation from the pure elements = 1264.8 meV per atom; crystal system = cubic; ΔE to the lowest computed polymorph = 865 meV per atom
1.0
-0.414 5.083 0.883
-2.939 -0.961 4.151
4.241 -0.169 2.963
Pd Cd Rb
3 1 1
Cartesian
-1.469 -0.480 2.075
2.120 -0.085 1.482
-0.207 2.542 0.442
0.444 1.977 3.999
0.000 0.000 0.000

=====

RbCd2Pd2 | Alexandria | PBE | relaxed; energy of formation from the pure elements = -183.6 meV per atom; crystal system = tetragonal; ΔE to the lowest computed polymorph = 0 meV per atom
1.0
8.457 0.000 0.000
0.000 8.457 0.000
0.000 0.000 3.058
Cd Rb Pd
4 2 4
Cartesian
5.406 7.280 1.529
3.051 1.177 1.529
1.177 5.406 1.529
7.280 3.051 1.529
4.229 4.229 0.000
0.000 0.000 0.000
2.944 7.172 0.000
1.285 2.944 0.000
5.514 1.285 0.000
7.172 5.514 0.000

=====

RbCdPd | Alexandria | PBE | relaxed; energy of formation from the pure elements = -64.8 meV per atom; crystal system = hexagonal; ΔE to the lowest computed polymorph = 69 meV per atom
1.0
5.270 0.000 0.000
0.000 4.674 0.000
0.000 -2.337 4.048
Pd Rb Cd
1 1 1
Cartesian
0.880 2.337 1.349
3.512 0.000 2.699
0.878 0.000 0.000

=====

RbCd4Pd | Alexandria | PBE | relaxed; energy of formation from the pure elements = -54.3 meV per atom; crystal system = tetragonal; ΔE to the lowest computed polymorph = 32 meV per atom
1.0
-4.431 3.186 -5.044
-1.492 -6.675 -2.906
-6.240 -0.778 4.989
Rb Cd Pd
2 8 2
Cartesian
-3.866 -3.726 1.042
-5.335 1.204 -0.027
-2.228 -4.211 -3.442
-2.019 -0.252 1.615
-4.221 -0.526 3.375
-4.980 -1.996 -2.361
-7.182 -2.271 -0.600
-4.442 -2.615 -5.963
-3.695 0.721 -4.508
-1.480 -0.874 -1.987
-2.961 -1.745 -3.975
0.000 0.000 0.000

=====

RbCdPd3 | Alexandria | PBE | relaxed; energy of formation from the pure elements = 399.9 meV per atom; crystal system = cubic; ΔE to the lowest computed polymorph = 0 meV per atom
1.0
-2.501 3.485 -2.849
0.307 -3.120 -4.085
-4.491 -2.154 1.307
Pd Rb Cd
3 1 1
Cartesian
-2.245 -1.077 0.654
0.153 -1.560 -2.043
-1.250 1.742 -1.424
-3.342 -0.894 -2.813
0.000 0.000 0.000

=====

RbCdPd | Alexandria | PBE | relaxed; energy of formation from the pure elements = -134.1 meV per atom; crystal system = monoclinic; ΔE to the lowest computed polymorph = 0 meV per atom
1.0
4.695 0.000 0.000
-2.348 9.773 -0.887
0.000 -3.942 10.158
Pd Cd Rb
4 4 4
Cartesian
0.000 4.383 3.365
0.000 0.465 7.074
2.348 5.365 2.196
2.348 1.448 5.906
0.000 2.862 5.649
0.000 6.680 1.833
2.348 -0.850 7.438
2.348 2.969 3.621
0.000 -0.285 3.769
0.000 3.087 0.308
2.348 6.115 5.501
2.348 2.744 8.963

=====

RbCdPd2 | Alexandria | PBE | relaxed; energy of formation from the pure elements = -179.0 meV per atom; crystal system = trigonal
1.0
-0.464 3.961 2.558
-2.493 3.647 -1.712
-5.992 0.307 2.825
Pd Cd Rb
2 1 1
Cartesian
-1.159 2.459 0.370
-7.791 5.456 3.301
0.000 0.000 0.000
-4.475 3.957 1.836

=====

RbCd9Pd2 | Alexandria | PBE | relaxed; energy of formation from the pure elements = -183.3 meV per atom; crystal system = tetragonal
1.0
7.066 0.000 3.253
3.533 8.452 1.626
-0.002 0.000 9.304
Cd Pd Rb
18 4 2
Cartesian
5.466 1.474 7.933
0.000 0.000 0.000
2.459 3.532 2.755
6.907 4.920 4.803
4.551 5.700 2.859
7.065 4.226 7.905
4.606 3.532 9.802
4.607 0.694 5.150
3.691 7.758 4.729
8.083 6.978 9.138
5.467 2.752 3.281
3.373 7.758 7.828
7.223 4.920 11.007
1.597 2.752 9.276
1.598 1.474 4.624
2.458 0.694 7.407
6.047 6.978 6.672
2.513 5.700 9.698
8.832 6.339 6.392
7.065 2.113 5.579
5.298 6.339 9.418
7.065 2.113 10.231
3.533 0.000 1.626
3.532 4.226 6.278

=====

RbCdPd | Alexandria | PBE | relaxed; energy of formation from the pure elements = -76.2 meV per atom; crystal system = tetragonal; ΔE to the lowest computed polymorph = 58 meV per atom
1.0
3.815 0.000 0.000
0.000 3.815 0.000
-1.908 -1.908 6.239
Pd Rb Cd
1 1 1
Cartesian
1.908 1.908 2.881
0.000 0.000 0.002
0.000 0.000 3.356

=====

RbCdPd2 | Alexandria | PBE | relaxed; energy of formation from the pure elements = 96.3 meV per atom; crystal system = tetragonal
1.0
-1.874 4.694 1.117
-0.324 -1.318 4.995
7.580 4.822 4.446
Cd Pd Rb
2 4 2
Cartesian
0.000 0.000 0.000
2.303 5.602 4.310
-0.060 4.773 5.279
4.024 7.639 4.634
0.328 4.864 2.646
4.922 5.132 4.680
3.078 2.596 6.249
-1.099 1.688 3.056

=====

Rb2Cd2Pd | Alexandria | PBE | relaxed; energy of formation from the pure elements = -6.2 meV per atom; crystal system = tetragonal
1.0
7.447 0.000 0.000
0.000 7.447 0.000
0.000 0.000 6.026
Pd Cd Rb
2 4 4
Cartesian
3.723 3.723 0.000
0.000 0.000 0.000
1.138 2.585 0.000
2.585 6.309 0.000
6.309 4.861 0.000
4.861 1.138 0.000
6.103 2.380 3.013
1.344 5.067 3.013
2.380 1.344 3.013
5.067 6.103 3.013

=====

What did we get for total moment? Answer: 4.98; 11.19; 10.83; 5.73; 11.38; 5.52; 5.61; 5.61; 0.00; 0.00; 0.00; 0.00; 0.00; 0.00; 0.00; 0.00; 0.00; 0.00; 0.00; 0.00 Bohr magnetons per cell, in the order shown.